#a
The following is a DFT calculation (GGA-PBE) of a relaxed structure of Nd2HoPt.

The density comes out at 9.35 g cm⁻³.

The space group is P4/mmm (No. 123) and the conventional cell measures 3.6929, 3.6929 and 8.4449 Å, with angles of 90.00, 90.00 and 90.00 degrees. The inequivalent atoms are Nd at (0.0000, 0.0000, 0.2007), Ho at (0.5000, 0.5000, 0.5000) and Pt at (0.5000, 0.5000, 0.0000).

#b
The following is a DFT calculation (GGA-PBE) of a relaxed structure of Nd2HoPt.

The density comes out at 8.40 g cm⁻³.

The space group is Pnna (No. 52) and the conventional cell measures 6.7683, 6.5843 and 11.5085 Å, with angles of 90.00, 90.00 and 90.00 degrees. The inequivalent atoms are Nd at (0.0858, 0.2349, 0.0863), Ho at (0.0561, 0.2500, 0.7500) and Pt at (0.2500, 0.0000, 0.5946).

Relative to the most stable structure, the computed energies are #a 35; #b 0, all in meV/atom.

#a
The following is a DFT calculation (GGA-PBE) of a relaxed structure of Nd2HoPt.

The density comes out at 9.13 g cm⁻³.

The space group is Pnma (No. 62) and the conventional cell measures 7.1550, 10.0220 and 6.5760 Å, with angles of 90.00, 90.00 and 90.00 degrees. The inequivalent atoms are Nd at (0.1823, 0.0613, 0.1764), Ho at (0.0323, 0.2500, 0.6455) and Pt at (0.1157, 0.7500, 0.9532).

#b
The following is a DFT calculation (GGA-PBE) of a relaxed structure of Nd2HoPt.

The density comes out at 8.12 g cm⁻³.

The space group is R-3m (No. 166, hexagonal axes) and the conventional cell measures 3.7805, 3.7805 and 32.1337 Å, with angles of 90.00, 90.00 and 120.00 degrees. The inequivalent atoms are Nd at (0.0000, 0.0000, 0.1083), Ho at (0.0000, 0.0000, 0.0000) and Pt at (0.0000, 0.0000, 0.5000).

Relative to the most stable structure, the computed energies are #a 0; #b 433, all in meV/atom.

#a
The following is a DFT calculation (GGA-PBE) of a relaxed structure of Nd2Ho3Pt4.

The density comes out at 12.03 g cm⁻³.

The space group is P2_1/c (No. 14) and the conventional cell measures 7.6293, 7.6644 and 7.8222 Å, with angles of 90.00, 109.38 and 90.00 degrees. The inequivalent atoms are Nd at (0.1966, 0.1771, 0.0818), Ho at (0.2449, 0.6638, 0.2484), Ho at (0.5000, 0.0000, 0.5000), Pt at (0.0913, 0.5386, 0.8629) and Pt at (0.4980, 0.1344, 0.8716).

#b
The following is a DFT calculation (GGA-PBE) of a relaxed structure of Nd2Ho3Pt4.

The density comes out at 11.60 g cm⁻³.

The space group is Cmce (No. 64) and the conventional cell measures 7.2950, 15.7861 and 7.7729 Å, with angles of 90.00, 90.00 and 90.00 degrees. The inequivalent atoms are Nd at (0.0000, 0.0999, 0.0984), Ho at (0.0000, 0.0000, 0.5000), Ho at (0.2500, 0.2122, 0.7500), Pt at (0.0000, 0.1928, 0.4510) and Pt at (0.2500, 0.0355, 0.7500).

Relative to the most stable structure, the computed energies are #a 0; #b 145, all in meV/atom.

#a
The following is a DFT calculation (GGA-PBE) of a relaxed structure of NdHo2Pu.

The density comes out at 9.58 g cm⁻³.

The space group is P4/mmm (No. 123) and the conventional cell measures 4.9929, 4.9929 and 4.9919 Å, with angles of 90.00, 90.00 and 90.00 degrees. The inequivalent atoms are Nd at (0.0000, 0.0000, 0.0000), Ho at (0.0000, 0.5000, 0.5000) and Pu at (0.5000, 0.5000, 0.0000).

#b
The following is a DFT calculation (GGA-PBE) of a relaxed structure of NdHo2Pu.

The density comes out at 9.55 g cm⁻³.

The space group is R3m (No. 160, hexagonal axes) and the conventional cell measures 3.5442, 3.5442 and 34.4318 Å, with angles of 90.00, 90.00 and 120.00 degrees. The inequivalent atoms are Nd at (0.0000, 0.0000, 0.0000), Ho at (0.0000, 0.0000, 0.5801), Ho at (0.0000, 0.0000, 0.7521) and Pu at (0.0000, 0.0000, 0.1656).

Relative to the most stable structure, the computed energies are #a 38; #b 0, all in meV/atom.

#a
The following is a DFT calculation (GGA-PBE) of a relaxed structure of NdHo2Pu.

The density comes out at 9.35 g cm⁻³.

The space group is R-3m (No. 166, hexagonal axes) and the conventional cell measures 3.4598, 3.4598 and 36.8995 Å, with angles of 90.00, 90.00 and 120.00 degrees. The inequivalent atoms are Nd at (0.0000, 0.0000, 0.0000), Ho at (0.0000, 0.0000, 0.4123) and Pu at (0.0000, 0.0000, 0.5000).

#b
The following is a DFT calculation (GGA-PBE) of a relaxed structure of NdHo2Pu.

The density comes out at 9.48 g cm⁻³.

The space group is Fm-3m (No. 225) and the conventional cell measures 7.9548, 7.9548 and 7.9548 Å, with angles of 90.00, 90.00 and 90.00 degrees. The inequivalent atoms are Nd at (0.0000, 0.0000, 0.0000), Ho at (0.2500, 0.2500, 0.2500) and Pu at (0.0000, 0.0000, 0.5000).

Relative to the most stable structure, the computed energies are #a 66; #b 0, all in meV/atom.

#a
The following is a DFT calculation (GGA-PBE) of a relaxed structure of Nd2HoPu.

The density comes out at 9.02 g cm⁻³.

The space group is P4/mmm (No. 123) and the conventional cell measures 5.0574, 5.0574 and 5.0176 Å, with angles of 90.00, 90.00 and 90.00 degrees. The inequivalent atoms are Nd at (0.0000, 0.5000, 0.0000), Ho at (0.0000, 0.0000, 0.5000) and Pu at (0.5000, 0.5000, 0.5000).

#b
The following is a DFT calculation (GGA-PBE) of a relaxed structure of Nd2HoPu.

The density comes out at 8.96 g cm⁻³.

The space group is P4/mmm (No. 123) and the conventional cell measures 3.5634, 3.5634 and 10.1779 Å, with angles of 90.00, 90.00 and 90.00 degrees. The inequivalent atoms are Nd at (0.0000, 0.0000, 0.2465), Ho at (0.5000, 0.5000, 0.5000) and Pu at (0.5000, 0.5000, 0.0000).

Relative to the most stable structure, the computed energies are #a 36; #b 0, all in meV/atom.

#a
The following is a DFT calculation (GGA-PBE) of a relaxed structure of Nd2HoPu.

The density comes out at 8.92 g cm⁻³.

The space group is R3m (No. 160, hexagonal axes) and the conventional cell measures 3.6006, 3.6006 and 34.7079 Å, with angles of 90.00, 90.00 and 120.00 degrees. The inequivalent atoms are Nd at (0.0000, 0.0000, 0.0000), Nd at (0.0000, 0.0000, 0.1680), Ho at (0.0000, 0.0000, 0.4174) and Pu at (0.0000, 0.0000, 0.5842).

#b
The following is a DFT calculation (GGA-PBE) of a relaxed structure of Nd2HoPu.

The density comes out at 8.91 g cm⁻³.

The space group is Fm-3m (No. 225) and the conventional cell measures 8.0422, 8.0422 and 8.0422 Å, with angles of 90.00, 90.00 and 90.00 degrees. The inequivalent atoms are Nd at (0.2500, 0.2500, 0.2500), Ho at (0.0000, 0.0000, 0.0000) and Pu at (0.0000, 0.0000, 0.5000).

Relative to the most stable structure, the computed energies are #a 0; #b 93, all in meV/atom.

#a
The following is a DFT calculation (GGA-PBE) of a relaxed structure of Nd2HoRh2.

The density comes out at 8.83 g cm⁻³.

The space group is C2/m (No. 12) and the conventional cell measures 11.3235, 4.1610 and 6.3485 Å, with angles of 90.00, 124.02 and 90.00 degrees. The inequivalent atoms are Nd at (0.1952, 0.0000, 0.1950), Ho at (0.0000, 0.0000, 0.5000) and Rh at (0.0009, 0.5000, 0.7822).

#b
The following is a DFT calculation (GGA-PBE) of a relaxed structure of Nd2HoRh2.

The density comes out at 8.97 g cm⁻³.

The space group is R-3m (No. 166, hexagonal axes) and the conventional cell measures 4.7241, 4.7241 and 18.9364 Å, with angles of 90.00, 90.00 and 120.00 degrees. The inequivalent atoms are Nd at (0.0000, 0.0000, 0.2210), Ho at (0.0000, 0.0000, 0.0000) and Rh at (0.0000, 0.0000, 0.3839).

Relative to the most stable structure, the computed energies are #a 0; #b 63, all in meV/atom.

#a
The following is a DFT calculation (GGA-PBE) of a relaxed structure of NdHoZnRh.

The density comes out at 8.90 g cm⁻³.

The space group is F-43m (No. 216) and the conventional cell measures 7.0903, 7.0903 and 7.0903 Å, with angles of 90.00, 90.00 and 90.00 degrees. The inequivalent atoms are Nd at (0.0000, 0.0000, 0.0000), Ho at (0.0000, 0.0000, 0.5000), Zn at (0.2500, 0.2500, 0.7500) and Rh at (0.2500, 0.2500, 0.2500).

#b
The following is a DFT calculation (GGA-PBE) of a relaxed structure of NdHoZnRh.

The density comes out at 8.52 g cm⁻³.

The space group is Amm2 (No. 38) and the conventional cell measures 4.4103, 3.9310 and 10.7372 Å, with angles of 90.00, 90.00 and 90.00 degrees. The inequivalent atoms are Nd at (0.0000, 0.0000, 0.0000), Ho at (0.5000, 0.0000, 0.7196), Zn at (0.5000, 0.0000, 0.4262) and Rh at (0.0000, 0.0000, 0.2803).

Relative to the most stable structure, the computed energies are #a 16; #b 0, all in meV/atom.

#a
The following is a DFT calculation (GGA-PBE) of a relaxed structure of NdHo2S4.

The density comes out at 6.08 g cm⁻³.

The space group is Cmcm (No. 63) and the conventional cell measures 3.8582, 12.9295 and 13.1910 Å, with angles of 90.00, 90.00 and 90.00 degrees. The inequivalent atoms are Nd at (0.0000, 0.1242, 0.2500), Ho at (0.0000, 0.3701, 0.0682), S at (0.0000, 0.0000, 0.0000), S at (0.0000, 0.2729, 0.6190) and S at (0.0000, 0.4619, 0.2500).

#b
The following is a DFT calculation (GGA-PBE) of a relaxed structure of NdHo2S4.

The density comes out at 6.14 g cm⁻³.

The space group is Pnma (No. 62) and the conventional cell measures 11.9243, 3.8724 and 14.1204 Å, with angles of 90.00, 90.00 and 90.00 degrees. The inequivalent atoms are Nd at (0.2472, 0.2500, 0.1682), Ho at (0.0628, 0.2500, 0.3882), Ho at (0.0923, 0.2500, 0.9052), S at (0.0383, 0.7500, 0.7830), S at (0.0959, 0.2500, 0.5778), S at (0.1301, 0.7500, 0.0393) and S at (0.2009, 0.7500, 0.3184).

Relative to the most stable structure, the computed energies are #a 0; #b 17, all in meV/atom.

#a
The following is a DFT calculation (GGA-PBE) of a relaxed structure of Nd2HoS4.

The density comes out at 5.35 g cm⁻³.

The space group is Imma (No. 74) and the conventional cell measures 7.9683, 8.1123 and 11.1724 Å, with angles of 90.00, 90.00 and 90.00 degrees. The inequivalent atoms are Nd at (0.0000, 0.0000, 0.0000), Nd at (0.2500, 0.2500, 0.2500), Ho at (0.2500, 0.2500, 0.7500), S at (0.0000, 0.0098, 0.7455) and S at (0.2462, 0.2500, 0.9950).

#b
The following is a DFT calculation (GGA-PBE) of a relaxed structure of Nd2HoS4.

The density comes out at 5.55 g cm⁻³.

The space group is Cmcm (No. 63) and the conventional cell measures 3.8621, 13.4450 and 13.4181 Å, with angles of 90.00, 90.00 and 90.00 degrees. The inequivalent atoms are Nd at (0.0000, 0.1293, 0.0722), Ho at (0.0000, 0.3723, 0.2500), S at (0.0000, 0.0171, 0.2500), S at (0.0000, 0.2196, 0.6262) and S at (0.0000, 0.5000, 0.0000).

Relative to the most stable structure, the computed energies are #a 0; #b 13, all in meV/atom.